[1]
This record from the Alexandria database describes an optimized crystal structure of MgPd3Pb. The functional is GGA-PBE.

Cell and atoms, written as extended XYZ:
```
20
Lattice="5.629 0.000 0.000 0.000 7.646 0.000 0.000 0.000 8.874" Properties=species:S:1:pos:R:3 pbc="T T T"
Mg 0.000 0.000 0.000
Mg 0.000 3.823 0.000
Mg 2.814 0.000 4.437
Mg 2.814 3.823 4.437
Pd 0.365 1.912 1.882
Pd 1.173 0.523 6.558
Pd 1.173 3.300 6.558
Pd 1.641 4.346 2.120
Pd 1.641 7.123 2.120
Pd 2.449 5.735 6.319
Pd 3.180 1.912 2.555
Pd 3.988 0.523 6.754
Pd 3.988 3.300 6.754
Pd 4.455 4.346 2.317
Pd 4.455 7.123 2.317
Pd 5.263 5.735 6.992
Pb 0.256 5.735 4.305
Pb 2.559 1.912 8.742
Pb 3.070 5.735 0.132
Pb 5.373 1.912 4.569
```

Calculated values
raw total energy = -4.475 eV per atom
energy relative to the lowest polymorph listed for this composition = 0.000 eV per atom
symmetry = Pnma
mass density = 9.6 g/cm3
DOS at the Fermi energy = 0.474 states/eV per atom
calculated formation energy = -1.49 eV per formula unit



[2]
This record from the Alexandria database describes an optimized crystal structure of Ac2Pd9Pb4. The functional is GGA-PBE.

Cell and atoms, written as extended XYZ:
```
15
Lattice="4.743 0.000 0.000 -2.371 4.107 0.000 0.000 0.000 17.037" Properties=species:S:1:pos:R:3 pbc="T T T"
Ac 0.000 2.738 4.290
Ac 2.371 1.369 12.747
Pd 0.000 0.000 0.000
Pd 0.000 0.000 2.803
Pd 0.000 0.000 5.934
Pd 0.000 0.000 11.103
Pd 0.000 0.000 14.234
Pd 0.000 2.738 1.014
Pd 0.000 2.738 7.436
Pd 2.371 1.369 9.601
Pd 2.371 1.369 16.023
Pb 0.000 2.738 10.211
Pb 0.000 2.738 15.255
Pb 2.371 1.369 1.782
Pb 2.371 1.369 6.826
```

Calculated values
raw total energy = -5.065 eV per atom
symmetry = P-3m1
mass density = 11.2 g/cm3
DOS at the Fermi energy = 0.517 states/eV per atom
calculated formation energy = -6.19 eV per formula unit



[3]
This record from the Alexandria database describes an optimized crystal structure of CdSi. The functional is GGA-PBE.

Cell and atoms, written as extended XYZ:
```
4
Lattice="4.716 0.000 0.000 0.000 3.899 0.000 0.000 0.000 4.407" Properties=species:S:1:pos:R:3 pbc="T T T"
Cd 1.179 0.000 0.797
Cd 3.537 0.000 3.610
Si 1.179 1.949 2.792
Si 3.537 1.949 1.615
```

Calculated values
raw total energy = -2.720 eV per atom
symmetry = Pmma
mass density = 5.8 g/cm3
DOS at the Fermi energy = 0.507 states/eV per atom



[4]
This record from the Alexandria database describes an optimized crystal structure of CaCd2Si2. The functional is GGA-PBE.

Cell and atoms, written as extended XYZ:
```
10
Lattice="8.054 0.000 0.000 0.000 8.054 0.000 0.000 0.000 3.353" Properties=species:S:1:pos:R:3 pbc="T T T"
Ca 0.000 0.000 0.000
Ca 4.027 4.027 0.000
Cd 1.009 3.017 0.000
Cd 3.017 7.044 0.000
Cd 5.036 1.009 0.000
Cd 7.044 5.036 0.000
Si 1.422 5.449 1.677
Si 2.604 1.422 1.677
Si 5.449 6.631 1.677
Si 6.631 2.604 1.677
```

Calculated values
raw total energy = -2.794 eV per atom
symmetry = P4/mbm
mass density = 4.9 g/cm3
DOS at the Fermi energy = 0.398 states/eV per atom



[5]
This record from the Alexandria database describes an optimized crystal structure of Ti2Nb2Pd. The functional is GGA-PBE.

Cell and atoms, written as extended XYZ:
```
10
Lattice="-2.261 4.934 3.995 2.261 -4.934 3.995 2.261 4.934 -3.995" Properties=species:S:1:pos:R:3 pbc="T T T"
Ti 0.000 1.054 0.676
Ti 0.000 3.880 0.676
Ti 2.261 1.054 3.320
Ti 2.261 3.880 3.320
Nb 2.261 -0.859 1.233
Nb 2.261 4.075 -1.233
Nb 0.000 0.859 5.228
Nb 0.000 5.794 2.763
Pd 2.261 2.467 1.059
Pd 0.000 2.467 2.936
```

Calculated values
raw total energy = -8.246 eV per atom
energy relative to the lowest polymorph listed for this composition = 0.000 eV per atom
symmetry = Imma
mass density = 7.2 g/cm3
DOS at the Fermi energy = 0.895 states/eV per atom
calculated formation energy = -0.11 eV per formula unit



Question: The lowest DOS at the Fermi energy belongs to which entry?
Answer: CaCd2Si2



What did the first record say?
This record from the Alexandria database describes an optimized crystal structure of MgPd3Pb. The functional is GGA-PBE.

Cell and atoms, written as extended XYZ:
```
20
Lattice="5.629 0.000 0.000 0.000 7.646 0.000 0.000 0.000 8.874" Properties=species:S:1:pos:R:3 pbc="T T T"
Mg 0.000 0.000 0.000
Mg 0.000 3.823 0.000
Mg 2.814 0.000 4.437
Mg 2.814 3.823 4.437
Pd 0.365 1.912 1.882
Pd 1.173 0.523 6.558
Pd 1.173 3.300 6.558
Pd 1.641 4.346 2.120
Pd 1.641 7.123 2.120
Pd 2.449 5.735 6.319
Pd 3.180 1.912 2.555
Pd 3.988 0.523 6.754
Pd 3.988 3.300 6.754
Pd 4.455 4.346 2.317
Pd 4.455 7.123 2.317
Pd 5.263 5.735 6.992
Pb 0.256 5.735 4.305
Pb 2.559 1.912 8.742
Pb 3.070 5.735 0.132
Pb 5.373 1.912 4.569
```

Calculated values
raw total energy = -4.475 eV per atom
energy relative to the lowest polymorph listed for this composition = 0.000 eV per atom
symmetry = Pnma
mass density = 9.6 g/cm3
DOS at the Fermi energy = 0.474 states/eV per atom
calculated formation energy = -1.49 eV per formula unit



Copy entry 1 word for word.
This record from the Alexandria database describes an optimized crystal structure of MgPd3Pb. The functional is GGA-PBE.

Cell and atoms, written as extended XYZ:
```
20
Lattice="5.629 0.000 0.000 0.000 7.646 0.000 0.000 0.000 8.874" Properties=species:S:1:pos:R:3 pbc="T T T"
Mg 0.000 0.000 0.000
Mg 0.000 3.823 0.000
Mg 2.814 0.000 4.437
Mg 2.814 3.823 4.437
Pd 0.365 1.912 1.882
Pd 1.173 0.523 6.558
Pd 1.173 3.300 6.558
Pd 1.641 4.346 2.120
Pd 1.641 7.123 2.120
Pd 2.449 5.735 6.319
Pd 3.180 1.912 2.555
Pd 3.988 0.523 6.754
Pd 3.988 3.300 6.754
Pd 4.455 4.346 2.317
Pd 4.455 7.123 2.317
Pd 5.263 5.735 6.992
Pb 0.256 5.735 4.305
Pb 2.559 1.912 8.742
Pb 3.070 5.735 0.132
Pb 5.373 1.912 4.569
```

Calculated values
raw total energy = -4.475 eV per atom
energy relative to the lowest polymorph listed for this composition = 0.000 eV per atom
symmetry = Pnma
mass density = 9.6 g/cm3
DOS at the Fermi energy = 0.474 states/eV per atom
calculated formation energy = -1.49 eV per formula unit



Please write out number 4 again, unchanged.
This record from the Alexandria database describes an optimized crystal structure of CaCd2Si2. The functional is GGA-PBE.

Cell and atoms, written as extended XYZ:
```
10
Lattice="8.054 0.000 0.000 0.000 8.054 0.000 0.000 0.000 3.353" Properties=species:S:1:pos:R:3 pbc="T T T"
Ca 0.000 0.000 0.000
Ca 4.027 4.027 0.000
Cd 1.009 3.017 0.000
Cd 3.017 7.044 0.000
Cd 5.036 1.009 0.000
Cd 7.044 5.036 0.000
Si 1.422 5.449 1.677
Si 2.604 1.422 1.677
Si 5.449 6.631 1.677
Si 6.631 2.604 1.677
```

Calculated values
raw total energy = -2.794 eV per atom
symmetry = P4/mbm
mass density = 4.9 g/cm3
DOS at the Fermi energy = 0.398 states/eV per atom